# 1
DFT (PBE) results for Sc2AlC after structural relaxation.

Computed properties:
The energy above the lowest structure with this stoichiometry is 10.1 meV/atom. The calculation puts the total energy at -6.848 eV per atom. As for the energy of formation from the pure elements: -170 kJ/mol of formula units.

a b c (Å): 3.292 3.292 15.111
angles (deg): 90.00 90.00 120.00
Sites, in units of the cell vectors:
Sc 0.333 0.667 0.082
Sc 0.333 0.667 0.418
Sc 0.667 0.333 0.582
Sc 0.667 0.333 0.918
Al 0.333 0.667 0.750
Al 0.667 0.333 0.250
C 0.000 0.000 0.000
C 0.000 0.000 0.500



# 2
DFT (PBE) results for Sc2AlC after structural relaxation.

Computed properties:
The energy above the lowest structure with this stoichiometry is 963.9 meV/atom. The calculation puts the total energy at -5.894 eV per atom. As for the energy of formation from the pure elements: 198 kJ/mol of formula units.

a b c (Å): 4.522 4.522 4.522
angles (deg): 60.00 60.00 60.00
Sites, in units of the cell vectors:
Sc 0.250 0.250 0.250
Sc 0.750 0.750 0.750
Al 0.000 0.000 0.000
C 0.500 0.500 0.500



# 3
DFT (PBE) results for Sc2AlC after structural relaxation.

Computed properties:
The energy above the lowest structure with this stoichiometry is 0.0 meV/atom. The calculation puts the total energy at -6.858 eV per atom. As for the energy of formation from the pure elements: -174 kJ/mol of formula units.

a b c (Å): 6.236 6.236 6.085
angles (deg): 90.00 90.00 147.60
Sites, in units of the cell vectors:
Sc 0.149 0.851 0.501
Sc 0.149 0.851 0.999
Sc 0.851 0.149 0.001
Sc 0.851 0.149 0.499
Al 0.493 0.507 0.250
Al 0.507 0.493 0.750
C 0.317 0.683 0.250
C 0.683 0.317 0.750



# 4
DFT (PBE) results for ScAlC2 after structural relaxation.

Computed properties:
The calculation puts the total energy at -6.613 eV per atom. As for the energy of formation from the pure elements: 200 kJ/mol of formula units.

a b c (Å): 6.476 6.476 6.476
angles (deg): 140.01 140.01 57.83
Sites, in units of the cell vectors:
Sc 0.000 0.000 0.000
Sc 0.750 0.250 0.500
Al 0.250 0.750 0.500
Al 0.500 0.500 0.000
C 0.183 0.625 0.058
C 0.375 0.433 0.558
C 0.567 0.125 0.942
C 0.875 0.817 0.442



The highest energy of formation from the pure elements belongs to which entry?
ScAlC2



Which of these has the highest energy of formation from the pure elements?
ScAlC2



What is the formula in the second record?
Sc2AlC



Repeat the third record exactly.
DFT (PBE) results for Sc2AlC after structural relaxation.

Computed properties:
The energy above the lowest structure with this stoichiometry is 0.0 meV/atom. The calculation puts the total energy at -6.858 eV per atom. As for the energy of formation from the pure elements: -174 kJ/mol of formula units.

a b c (Å): 6.236 6.236 6.085
angles (deg): 90.00 90.00 147.60
Sites, in units of the cell vectors:
Sc 0.149 0.851 0.501
Sc 0.149 0.851 0.999
Sc 0.851 0.149 0.001
Sc 0.851 0.149 0.499
Al 0.493 0.507 0.250
Al 0.507 0.493 0.750
C 0.317 0.683 0.250
C 0.683 0.317 0.750